1.
First-principles (GGA-PBE) data for a relaxed structure of DyMg2Ag, as listed in Alexandria.

Geometry as CIF:
```
data_DyMg2Ag
_cell_length_a 4.362
_cell_length_b 4.362
_cell_length_c 4.924
_cell_angle_alpha 90.00
_cell_angle_beta 90.00
_cell_angle_gamma 90.00
_space_group_name_H-M_alt 'P 4/m m m'
_space_group_IT_number 123
_space_group_name_Hall '-P 4 2'
loop_
_atom_site_label
_atom_site_fract_x
_atom_site_fract_y
_atom_site_fract_z
Dy1 0.000 0.000 0.000
Mg1 0.000 0.500 0.500
Ag1 0.500 0.500 0.000
```

Values from the calculation:
Size of the total moment = 0.000 Bohr magnetons per cell
Uncorrected energy = -11.1 eV/f.u.
Crystal system = tetragonal
Energy of formation from the pure elements = -0.114 eV/atom


2.
First-principles (GGA-PBE) data for a relaxed structure of Dy5MgAg6, as listed in Alexandria.

Geometry as CIF:
```
data_Dy5MgAg6
_cell_length_a 5.056
_cell_length_b 7.235
_cell_length_c 15.238
_cell_angle_alpha 90.00
_cell_angle_beta 90.00
_cell_angle_gamma 90.00
_space_group_name_H-M_alt 'I m m m'
_space_group_IT_number 71
_space_group_name_Hall '-I 2 2'
loop_
_atom_site_label
_atom_site_fract_x
_atom_site_fract_y
_atom_site_fract_z
Dy1 0.000 0.000 0.000
Dy2 0.000 0.000 0.334
Dy3 0.000 0.500 0.332
Mg1 0.000 0.500 0.000
Ag1 0.000 0.246 0.500
Ag2 0.000 0.254 0.163
```

Values from the calculation:
Size of the total moment = 0.000 Bohr magnetons per cell
Uncorrected energy = -45.2 eV/f.u.
Crystal system = orthorhombic
Energy of formation from the pure elements = -0.295 eV/atom